No. 1
! PBE-GGA In2Cu2Ir, relaxed; values from VASP
&SYSTEM
  ibrav = 0, nat = 10, ntyp = 3
/
ATOMIC_SPECIES
In 114.82 In.upf
Cu 63.55 Cu.upf
Ir 192.22 Ir.upf
ATOMIC_POSITIONS crystal
In 0.178 0.322 0.000
In 0.322 0.822 0.000
In 0.678 0.178 0.000
In 0.822 0.678 0.000
Cu 0.123 0.623 0.500
Cu 0.377 0.123 0.500
Cu 0.623 0.877 0.500
Cu 0.877 0.377 0.500
Ir 0.000 0.000 0.500
Ir 0.500 0.500 0.500
CELL_PARAMETERS angstrom
7.031 0.000 0.000
0.000 7.031 0.000
0.000 0.000 3.282
! - energy relative to the elements (meV per atom) = 162
! - size of the total moment (μB per atom) = 0.0000

No. 2
! PBE-GGA KInPt, relaxed; values from VASP
&SYSTEM
  ibrav = 0, nat = 3, ntyp = 3
/
ATOMIC_SPECIES
K 39.10 K.upf
In 114.82 In.upf
Pt 195.08 Pt.upf
ATOMIC_POSITIONS crystal
K 0.000 0.000 0.000
In 0.274 0.274 0.000
Pt 0.718 0.718 0.000
CELL_PARAMETERS angstrom
-1.525 2.177 6.088
1.525 -2.177 6.088
1.525 2.177 -6.088
! - energy relative to the elements (meV per atom) = -230
! - size of the total moment (μB per atom) = 0.0000

No. 3
! PBE-GGA Mg5Si6, relaxed; values from VASP
&SYSTEM
  ibrav = 0, nat = 22, ntyp = 2
/
ATOMIC_SPECIES
Mg 24.30 Mg.upf
Si 28.09 Si.upf
ATOMIC_POSITIONS crystal
Mg 0.000 0.000 0.000
Mg 0.162 0.162 0.954
Mg 0.199 0.199 0.503
Mg 0.278 0.278 0.198
Mg 0.315 0.315 0.744
Mg 0.529 0.529 0.353
Mg 0.571 0.571 0.879
Mg 0.738 0.738 0.851
Mg 0.902 0.902 0.821
Mg 0.940 0.940 0.305
Si 0.011 0.011 0.620
Si 0.091 0.091 0.209
Si 0.091 0.091 0.570
Si 0.385 0.385 0.096
Si 0.389 0.389 0.475
Si 0.470 0.470 0.708
Si 0.637 0.637 0.281
Si 0.642 0.642 0.647
Si 0.711 0.711 0.200
Si 0.766 0.766 0.504
Si 0.832 0.832 0.056
Si 0.841 0.841 0.425
CELL_PARAMETERS angstrom
14.836 -2.015 0.000
14.836 2.015 0.000
-1.614 0.000 6.788
! - size of the total moment (μB per atom) = 0.0000
! - formation energy (no corrections) (kJ/mol of atoms) = 6.8

No. 4
! PBE-GGA Rb3BaAu, relaxed; values from VASP
&SYSTEM
  ibrav = 0, nat = 5, ntyp = 3
/
ATOMIC_SPECIES
Rb 85.47 Rb.upf
Ba 137.33 Ba.upf
Au 196.97 Au.upf
ATOMIC_POSITIONS crystal
Rb 0.000 0.000 0.500
Rb 0.000 0.500 0.000
Rb 0.500 0.000 0.000
Ba 0.500 0.500 0.500
Au 0.000 0.000 0.000
CELL_PARAMETERS angstrom
6.904 0.000 0.000
0.000 6.904 0.000
0.000 0.000 6.904
! - energy relative to the elements (meV per atom) = 36
! - size of the total moment (μB per atom) = 0.3213

No. 5
! PBE-GGA BaCa3Se4, relaxed; values from VASP
&SYSTEM
  ibrav = 0, nat = 16, ntyp = 3
/
ATOMIC_SPECIES
Ba 137.33 Ba.upf
Ca 40.08 Ca.upf
Se 78.96 Se.upf
ATOMIC_POSITIONS crystal
Ba 0.333 0.667 0.250
Ba 0.667 0.333 0.750
Ca 0.000 0.000 0.000
Ca 0.000 0.000 0.500
Ca 0.333 0.667 0.618
Ca 0.333 0.667 0.882
Ca 0.667 0.333 0.118
Ca 0.667 0.333 0.382
Se 0.000 0.000 0.177
Se 0.000 0.000 0.323
Se 0.000 0.000 0.677
Se 0.000 0.000 0.823
Se 0.333 0.667 0.059
Se 0.333 0.667 0.441
Se 0.667 0.333 0.559
Se 0.667 0.333 0.941
CELL_PARAMETERS angstrom
4.316 0.000 0.000
-2.158 3.738 0.000
0.000 0.000 28.641
! - size of the total moment (μB per atom) = 0.0000
! - formation energy (no corrections) (kJ/mol of atoms) = -192.8

No. 6
! PBE-GGA Na2GeI, relaxed; values from VASP
&SYSTEM
  ibrav = 0, nat = 8, ntyp = 3
/
ATOMIC_SPECIES
Na 22.99 Na.upf
Ge 72.64 Ge.upf
I 126.90 I.upf
ATOMIC_POSITIONS crystal
Na 0.118 0.625 0.993
Na 0.375 0.368 0.493
Na 0.632 0.125 0.007
Na 0.875 0.882 0.507
Ge 0.000 0.000 0.000
Ge 0.750 0.250 0.500
I 0.250 0.750 0.500
I 0.500 0.500 0.000
CELL_PARAMETERS angstrom
-4.207 4.207 3.360
4.207 -4.207 3.360
4.207 4.207 -3.360
! - size of the total moment (μB per atom) = 0.0000
! - formation energy (no corrections) (kJ/mol of atoms) = -17.0

Q: Which of these has the highest size of the total moment?
A: Rb3BaAu

Copy entry 4 word for word.
! PBE-GGA Rb3BaAu, relaxed; values from VASP
&SYSTEM
  ibrav = 0, nat = 5, ntyp = 3
/
ATOMIC_SPECIES
Rb 85.47 Rb.upf
Ba 137.33 Ba.upf
Au 196.97 Au.upf
ATOMIC_POSITIONS crystal
Rb 0.000 0.000 0.500
Rb 0.000 0.500 0.000
Rb 0.500 0.000 0.000
Ba 0.500 0.500 0.500
Au 0.000 0.000 0.000
CELL_PARAMETERS angstrom
6.904 0.000 0.000
0.000 6.904 0.000
0.000 0.000 6.904
! - energy relative to the elements (meV per atom) = 36
! - size of the total moment (μB per atom) = 0.3213

Q: What is the formula in the fourth record?
A: Rb3BaAu